Entry 1:
Entry from Alexandria via LeMat-Bulk: La2BI at its PBEsol-relaxed geometry (SCAN).

```
8
Lattice="-3.8163 3.8163 4.0113 3.8163 -3.8163 4.0113 3.8163 3.8163 -4.0113" Properties=species:S:1:pos:R:3 pbc="T T T"
La 5.7245 1.3259 -1.0028
La 1.3259 1.9082 1.0028
La -1.9082 2.4904 3.0085
La 2.4904 1.9082 5.0141
B 0.0000 0.0000 0.0000
B 0.0000 3.8163 2.0057
I 3.8163 0.0000 2.0057
I 0.0000 0.0000 4.0113
```

Output
* crystal system: tetragonal
* space-group type: I-42d, No. 122
* total magnetic moment: 0.00 μB per formula unit

=====

Entry 2:
Entry from Alexandria via LeMat-Bulk: La4B4I5 at its PBEsol-relaxed geometry (SCAN).

```
13
Lattice="9.5410 -2.1640 0.0000 9.5410 2.1640 0.0000 -3.0072 0.0000 9.7820" Properties=species:S:1:pos:R:3 pbc="T T T"
La 0.0000 0.0000 0.0000
La -1.2332 0.0000 4.9161
La 6.5307 0.0000 1.8085
La 11.3200 0.0000 3.1071
B 8.9254 1.3623 2.4583
B 9.1725 0.0000 1.5189
B 8.6782 0.0000 3.3977
B 8.9254 -1.3623 2.4583
I 3.1196 0.0000 1.0082
I 1.9388 0.0000 5.5413
I 7.3955 0.0000 7.3403
I 12.9028 0.0000 9.1575
I 14.7298 0.0000 3.9041
```

Output
* crystal system: monoclinic
* space-group type: Cm, No. 8
* total magnetic moment: 0.00 μB per formula unit

=====

Entry 3:
Entry from Alexandria via LeMat-Bulk: LaBSbI2 at its PBEsol-relaxed geometry (SCAN).

```
5
Lattice="5.0541 0.0000 0.0000 0.0000 5.0541 0.0000 0.0000 0.0000 5.0595" Properties=species:S:1:pos:R:3 pbc="T T T"
La 0.0000 0.0000 0.0000
B 2.5271 2.5271 2.5297
Sb 2.5271 2.5271 0.0000
I 0.0000 2.5271 2.5297
I 2.5271 0.0000 2.5297
```

Output
* crystal system: tetragonal
* space-group type: P4/mmm, No. 123
* total magnetic moment: 0.00 μB per formula unit

=====

Entry 4:
Entry from Alexandria via LeMat-Bulk: LiBMoI2 at its PBEsol-relaxed geometry (SCAN).

```
5
Lattice="5.1190 0.0000 0.0000 0.0000 5.1190 0.0000 0.0000 0.0000 4.8201" Properties=species:S:1:pos:R:3 pbc="T T T"
Li 0.0000 0.0000 0.0000
B 2.5595 2.5595 2.4100
Mo 0.0000 0.0000 2.4100
I 0.0000 2.5595 0.0000
I 2.5595 0.0000 0.0000
```

Output
* crystal system: tetragonal
* space-group type: P4/mmm, No. 123
* total magnetic moment: 4.50 μB per formula unit

=====

Entry 5:
Entry from Alexandria via LeMat-Bulk: Mg2BI2 at its PBEsol-relaxed geometry (SCAN).

```
10
Lattice="7.8699 0.0000 0.0000 0.0000 7.8699 0.0000 0.0000 0.0000 4.4726" Properties=species:S:1:pos:R:3 pbc="T T T"
Mg 1.0012 2.9338 0.0000
Mg 2.9338 6.8687 0.0000
Mg 4.9362 1.0012 0.0000
Mg 6.8687 4.9362 0.0000
B 0.0000 0.0000 2.2363
B 3.9350 3.9350 2.2363
I 1.6503 5.5853 2.2363
I 2.2846 1.6503 2.2363
I 5.5853 6.2196 2.2363
I 6.2196 2.2846 2.2363
```

Output
* crystal system: tetragonal
* space-group type: P4/mbm, No. 127
* total magnetic moment: 0.00 μB per formula unit

=====

Entry 6:
Entry from Alexandria via LeMat-Bulk: Mg8B5IN10 at its PBEsol-relaxed geometry (SCAN).

```
48
Lattice="-4.6783 6.7534 5.5983 4.6783 -6.7534 5.5983 4.6783 6.7534 -5.5983" Properties=species:S:1:pos:R:3 pbc="T T T"
Mg 2.3212 0.0000 0.0000
Mg 7.0353 0.0000 0.0000
Mg 2.3391 4.7963 -2.7992
Mg 2.3391 -1.9571 2.7992
Mg 1.9253 3.3767 0.2789
Mg 2.7529 -3.3767 5.8773
Mg 2.3391 7.6589 -2.7992
Mg 2.3391 0.9055 2.7992
Mg 2.3212 6.7534 0.0000
Mg 2.3571 0.0000 5.5983
Mg -2.3391 5.8480 2.7992
Mg 2.3391 5.8480 2.7992
Mg 1.9253 10.1301 -0.2789
Mg 2.7529 3.3767 5.3194
Mg -2.3391 8.7105 2.7992
Mg 2.3391 8.7105 2.7992
B 4.6783 -3.3767 3.8837
B 4.6783 -0.5914 1.6572
B 0.0000 1.5473 1.1123
B 4.6783 6.1621 -1.6572
B 0.0000 5.2061 1.1123
B 4.6783 1.5473 4.4861
B 0.0000 0.5914 7.2556
B 4.6783 5.2061 4.4861
B 0.0000 7.3448 3.9411
B 0.0000 10.1301 1.7146
I 4.6783 3.3767 1.1447
I 0.0000 3.3767 4.4536
N 3.3396 -3.3767 3.9109
N 6.0169 -3.3767 3.9109
N 3.3415 -0.5779 1.6783
N 6.0150 -0.5779 1.6783
N 1.3440 1.5601 1.0852
N 8.0125 1.5601 1.0852
N 3.3415 6.1755 -1.6783
N 1.3368 -0.5779 3.9200
N 1.3440 5.1933 1.0852
N 3.3342 -1.5601 6.6836
N 1.3440 8.3136 -1.0852
N 3.3342 1.5601 4.5131
N 3.3415 7.3313 1.6783
N 1.3368 0.5779 7.2767
N -3.3342 5.1933 4.5131
N 3.3342 5.1933 4.5131
N -1.3368 7.3313 3.9200
N 1.3368 7.3313 3.9200
N -1.3387 10.1301 1.6875
N 1.3387 10.1301 1.6875
```

Output
* crystal system: orthorhombic
* space-group type: Imma, No. 74
* total magnetic moment: 0.00 μB per formula unit

=====

Entry 7:
Entry from Alexandria via LeMat-Bulk: MgBSb2I at its PBEsol-relaxed geometry (SCAN).

```
5
Lattice="4.7934 0.0000 0.0000 0.0000 4.7934 0.0000 0.0000 0.0000 5.1892" Properties=species:S:1:pos:R:3 pbc="T T T"
Mg 0.0000 0.0000 0.0000
B 2.3967 2.3967 2.5946
Sb 0.0000 2.3967 2.5946
Sb 2.3967 0.0000 2.5946
I 2.3967 2.3967 0.0000
```

Output
* crystal system: tetragonal
* space-group type: P4/mmm, No. 123
* total magnetic moment: 0.00 μB per formula unit

=====

Entry 8:
Entry from Alexandria via LeMat-Bulk: MgBSbI2 at its PBEsol-relaxed geometry (SCAN).

```
5
Lattice="5.0954 0.0000 0.0000 0.0000 5.0954 0.0000 0.0000 0.0000 4.8225" Properties=species:S:1:pos:R:3 pbc="T T T"
Mg 0.0000 0.0000 0.0000
B 2.5477 2.5477 2.4113
Sb 2.5477 2.5477 0.0000
I 0.0000 2.5477 2.4113
I 2.5477 0.0000 2.4113
```

Output
* crystal system: tetragonal
* space-group type: P4/mmm, No. 123
* total magnetic moment: 0.00 μB per formula unit

=====

What did we get for total DFT energy (no corrections)? Answer: -132.1; -402.4; -161.0; -110.2; -87.3; -234.6; -119.9; -119.6 eV per formula unit, in the order shown.